(1)
# LaHf3Be | Alexandria via LeMat-Bulk | PBE-GGA | optimized geometry
data_LaHf3Be
_symmetry_space_group_name_H-M 'P 1'
_symmetry_Int_Tables_number 1
_symmetry_space_group_name_Hall 'P 1'
_cell_length_a 4.868
_cell_length_b 4.868
_cell_length_c 4.868
_cell_angle_alpha 90.00
_cell_angle_beta 90.00
_cell_angle_gamma 90.00
loop_
_atom_site_label
_atom_site_fract_x
_atom_site_fract_y
_atom_site_fract_z
Be1 0.000 0.000 0.000
Hf1 0.000 0.500 0.000
Hf2 0.000 0.000 0.500
Hf3 0.500 0.000 0.000
La1 0.500 0.500 0.500
# formation energy	1.95	eV per formula unit
# crystal system	cubic



(2)
# MgSiTe2 | Alexandria via LeMat-Bulk | PBE-GGA | optimized geometry
data_MgSiTe2
_symmetry_space_group_name_H-M 'P 1'
_symmetry_Int_Tables_number 1
_symmetry_space_group_name_Hall 'P 1'
_cell_length_a 5.436
_cell_length_b 5.436
_cell_length_c 5.436
_cell_angle_alpha 133.51
_cell_angle_beta 109.54
_cell_angle_gamma 88.68
loop_
_atom_site_label
_atom_site_fract_x
_atom_site_fract_y
_atom_site_fract_z
Mg1 0.750 0.250 0.500
Si1 0.250 0.750 0.500
Te1 0.008 0.008 0.000
Te2 0.492 0.492 0.000
# ΔE_f (raw)	0.0785	eV per atom
# crystal system	orthorhombic



| no. | total DFT energy (no corrections) (eV/f.u.) | magnetization (μB/f.u.) |
| --- | --- | --- |
| 1 | -36.559 | 0.0 |
| 2 | -12.987 | 0.0 |